Entry from Alexandria: a relaxed structure of La8ScCd2 (PBE).

Calculated values
* calculated volume: 365.4 Å³ per cell
* energy of formation: -0.0730 eV/atom
* magnetization: 0.000 Bohr magnetons per cell

a b c (Å): 9.1597 9.1597 8.4414
angles (deg): 110.81 110.81 33.76
With the nearest neighbours (Å) after each atom.
Fractional coordinates of all 11 atoms:
La 0.0493 0.0493 0.2432  1 Cd 3.47, 9 La 3.56-3.88, 2 Sc 3.73
La 0.1415 0.1415 0.6971  3 Cd 3.42-3.51, 7 La 3.56-3.72, 2 Sc 3.60
La 0.3153 0.3153 0.5505  1 Cd 3.28, 6 La 3.40-3.63, 1 Sc 3.42
La 0.3993 0.3993 0.0368  3 Cd 3.37-3.51, 1 Sc 3.64, 4 La 3.69-3.72
La 0.6007 0.6007 0.9632  3 Cd 3.37-3.51, 1 Sc 3.64, 4 La 3.69-3.72
La 0.6847 0.6847 0.4495  1 Cd 3.28, 6 La 3.40-3.63, 1 Sc 3.42
La 0.8585 0.8585 0.3029  3 Cd 3.42-3.51, 7 La 3.56-3.72, 2 Sc 3.60
La 0.9507 0.9507 0.7568  1 Cd 3.47, 9 La 3.56-3.88, 2 Sc 3.73
Sc 0.5000 0.5000 0.5000  12 La 3.42-3.73
Cd 0.2214 0.2214 0.1339  8 La 3.28-3.51
Cd 0.7786 0.7786 0.8661  8 La 3.28-3.51